VASP calculation (PBE) on an optimized crystal structure of SiBi2Pd8.

a b c (Å): 4.5741 5.9637 7.8499
angles (deg): 110.57 106.94 90.00
Fractional positions:
Si 0.5000 0.0000 0.0000
Bi 0.8203 0.3191 0.6407
Bi 0.1797 0.6809 0.3593
Pd 0.3872 0.6051 0.7744
Pd 0.6374 0.9038 0.2748
Pd 0.8104 0.7830 0.6208
Pd 0.9924 0.2232 0.9848
Pd 0.1896 0.2170 0.3792
Pd 0.3626 0.0962 0.7252
Pd 0.6128 0.3949 0.2256
Pd 0.0076 0.7768 0.0152

## Properties
**M_tot**: 0.0 μB/f.u.
**Uncorrected energy**: -5.31 eV/atom
**Calculated volume**: 190.53 Å³ per cell



VASP calculation (PBE) on an optimized crystal structure of La3Tb4Er2.

a b c (Å): 5.0850 8.1291 14.9796
angles (deg): 144.74 90.00 108.23
Fractional positions:
La 0.5530 0.1061 0.6642
La 0.0000 0.0000 0.0000
La 0.4470 0.8939 0.3358
Tb 0.6667 0.3333 0.9985
Tb 0.3333 0.6667 0.0015
Tb 0.8885 0.7769 0.6674
Tb 0.1115 0.2231 0.3326
Er 0.7758 0.5515 0.3331
Er 0.2242 0.4485 0.6669

## Properties
**M_tot**: 0.0 μB/f.u.
**Energy relative to the elements**: 0.0343 eV per atom
**Offset from the most stable computed form**: 0.00 eV per formula unit
**Uncorrected energy**: -4.68 eV/atom
**Calculated volume**: 300.46 Å³ per cell



VASP calculation (PBE) on an optimized crystal structure of NaNi2BAs.

a b c (Å): 4.4199 4.1594 4.4199
angles (deg): 90.00 90.00 90.00
Fractional positions:
Ni 0.0000 0.0000 0.5000
Ni 0.5000 0.0000 0.0000
As 0.5000 0.5000 0.5000
B 0.0000 0.5000 0.0000
Na 0.0000 0.0000 0.0000

## Properties
**M_tot**: 0.0 μB/f.u.
**Energy relative to the elements**: 1.9054 eV per atom
**Uncorrected energy**: -2.94 eV/atom
**Calculated volume**: 81.26 Å³ per cell



VASP calculation (PBE) on an optimized crystal structure of RbSi3Ag.

a b c (Å): 5.0873 5.0873 5.0873
angles (deg): 90.00 90.00 90.00
Fractional positions:
Si 0.0000 0.5000 0.0000
Si 0.0000 0.0000 0.5000
Si 0.5000 0.0000 0.0000
Rb 0.5000 0.5000 0.5000
Ag 0.0000 0.0000 0.0000

## Properties
**M_tot**: 0.0 μB/f.u.
**Uncorrected energy**: -3.11 eV/atom
**Calculated volume**: 131.66 Å³ per cell



VASP calculation (PBE) on an optimized crystal structure of NdErOsO6.

a b c (Å): 5.5007 5.5007 9.9523
angles (deg): 90.00 90.00 120.00
Fractional positions:
Nd 0.0000 0.0000 0.0000
Nd 0.0000 0.0000 0.5000
Er 0.3333 0.6667 0.2500
Er 0.6667 0.3333 0.7500
Os 0.6667 0.3333 0.2500
Os 0.3333 0.6667 0.7500
O 0.6639 0.6242 0.1394
O 0.9603 0.3361 0.1394
O 0.3361 0.9603 0.6394
O 0.0397 0.6639 0.8606
O 0.3758 0.3361 0.3606
O 0.9603 0.6242 0.3606
O 0.6242 0.9603 0.8606
O 0.6639 0.0397 0.3606
O 0.0397 0.3758 0.6394
O 0.3758 0.0397 0.1394
O 0.6242 0.6639 0.6394
O 0.3361 0.3758 0.8606

## Properties
**M_tot**: 2.0 μB/f.u.
**Uncorrected energy**: -7.95 eV/atom
**Calculated volume**: 260.79 Å³ per cell



VASP calculation (PBE) on an optimized crystal structure of AsRh.

a b c (Å): 7.1315 11.9845 8.8130
angles (deg): 90.00 90.00 90.00
Fractional positions:
As 0.0000 0.0000 0.7792
As 0.0000 0.0000 0.2208
As 0.2500 0.7500 0.4708
As 0.2500 0.7500 0.0292
As 0.0000 0.5000 0.2792
As 0.0000 0.5000 0.7208
As 0.2500 0.2500 0.9708
As 0.2500 0.2500 0.5292
As 0.5000 0.0000 0.2792
As 0.5000 0.0000 0.7208
As 0.7500 0.7500 0.9708
As 0.7500 0.7500 0.5292
As 0.5000 0.5000 0.7792
As 0.5000 0.5000 0.2208
As 0.7500 0.2500 0.4708
As 0.7500 0.2500 0.0292
Rh 0.0000 0.1208 0.0000
Rh 0.0000 0.8792 0.0000
Rh 0.2500 0.6292 0.2500
Rh 0.2500 0.8708 0.2500
Rh 0.0000 0.6208 0.5000
Rh 0.0000 0.3792 0.5000
Rh 0.2500 0.1292 0.7500
Rh 0.2500 0.3708 0.7500
Rh 0.5000 0.1208 0.5000
Rh 0.5000 0.8792 0.5000
Rh 0.7500 0.6292 0.7500
Rh 0.7500 0.8708 0.7500
Rh 0.5000 0.6208 0.0000
Rh 0.5000 0.3792 0.0000
Rh 0.7500 0.1292 0.2500
Rh 0.7500 0.3708 0.2500

## Properties
**M_tot**: 0.0 μB/f.u.
**Energy relative to the elements**: -0.2579 eV per atom
**Uncorrected energy**: -6.26 eV/atom
**Calculated volume**: 753.23 Å³ per cell



VASP calculation (PBE) on an optimized crystal structure of Y3Ho2ErBi6.

a b c (Å): 7.7441 7.7441 7.7372
angles (deg): 99.59 99.59 120.00
Fractional positions:
Y 0.1671 0.8329 0.5000
Y 0.8329 0.1671 0.5000
Y 0.5000 0.5000 0.5000
Ho 0.3336 0.6664 0.0000
Ho 0.6664 0.3336 0.0000
Er 0.0000 0.0000 0.0000
Bi 0.9176 0.5848 0.7524
Bi 0.7502 0.7502 0.2482
Bi 0.0824 0.4152 0.2476
Bi 0.5848 0.9176 0.7524
Bi 0.2498 0.2498 0.7518
Bi 0.4152 0.0824 0.2476

## Properties
**M_tot**: 0.0 μB/f.u.
**Energy relative to the elements**: -0.8630 eV per atom
**Uncorrected energy**: -5.56 eV/atom
**Calculated volume**: 378.87 Å³ per cell



VASP calculation (PBE) on an optimized crystal structure of MnIn2Si.

a b c (Å): 9.9059 9.9059 7.3450
angles (deg): 47.60 47.60 90.00
Fractional positions:
Si 0.5000 0.5000 0.0000
Si 0.2500 0.7500 0.5000
Mn 0.0000 0.0000 0.0000
Mn 0.7500 0.2500 0.5000
In 0.8746 0.1250 0.2500
In 0.8754 0.6250 0.2500
In 0.3750 0.1254 0.7500
In 0.8750 0.1246 0.7500

## Properties
**M_tot**: 1.0 μB/f.u.
**Offset from the most stable computed form**: 0.51 eV per formula unit
**Uncorrected energy**: -4.74 eV/atom
**Calculated volume**: 216.90 Å³ per cell



Repeat the sixth record exactly.
VASP calculation (PBE) on an optimized crystal structure of AsRh.

a b c (Å): 7.1315 11.9845 8.8130
angles (deg): 90.00 90.00 90.00
Fractional positions:
As 0.0000 0.0000 0.7792
As 0.0000 0.0000 0.2208
As 0.2500 0.7500 0.4708
As 0.2500 0.7500 0.0292
As 0.0000 0.5000 0.2792
As 0.0000 0.5000 0.7208
As 0.2500 0.2500 0.9708
As 0.2500 0.2500 0.5292
As 0.5000 0.0000 0.2792
As 0.5000 0.0000 0.7208
As 0.7500 0.7500 0.9708
As 0.7500 0.7500 0.5292
As 0.5000 0.5000 0.7792
As 0.5000 0.5000 0.2208
As 0.7500 0.2500 0.4708
As 0.7500 0.2500 0.0292
Rh 0.0000 0.1208 0.0000
Rh 0.0000 0.8792 0.0000
Rh 0.2500 0.6292 0.2500
Rh 0.2500 0.8708 0.2500
Rh 0.0000 0.6208 0.5000
Rh 0.0000 0.3792 0.5000
Rh 0.2500 0.1292 0.7500
Rh 0.2500 0.3708 0.7500
Rh 0.5000 0.1208 0.5000
Rh 0.5000 0.8792 0.5000
Rh 0.7500 0.6292 0.7500
Rh 0.7500 0.8708 0.7500
Rh 0.5000 0.6208 0.0000
Rh 0.5000 0.3792 0.0000
Rh 0.7500 0.1292 0.2500
Rh 0.7500 0.3708 0.2500

## Properties
**M_tot**: 0.0 μB/f.u.
**Energy relative to the elements**: -0.2579 eV per atom
**Uncorrected energy**: -6.26 eV/atom
**Calculated volume**: 753.23 Å³ per cell